This record from Alexandria describes crystalline CsPmFe2Cl8 at its relaxed geometry. The functional is GGA-PBE.

Cell: 6.599 6.599 10.319 Å, 85.20 85.20 68.72°
Last column: magnetic moment on the atom in μB.
Fractional positions:
Cs 0.000 0.000 0.500  0.00
Pm 0.000 0.000 0.000  0.03
Fe 0.620 0.620 0.209  3.40
Fe 0.380 0.380 0.791  3.40
Cl 0.759 0.259 0.804  0.05
Cl 0.748 0.748 0.016  0.06
Cl 0.691 0.691 0.404  0.11
Cl 0.309 0.309 0.596  0.11
Cl 0.252 0.252 0.984  0.06
Cl 0.259 0.759 0.804  0.05
Cl 0.741 0.241 0.196  0.05
Cl 0.241 0.741 0.196  0.05

Results
ΔE_f (raw)   -1.423 eV per atom
Size of the total moment   8.0 μB/cell
D(E_F)   12.84 states/eV/cell